No. 1
Here is an optimized crystal structure of YTlMo from Alexandria. Energies are from PBE-GGA.

Cell lengths 3.3859, 3.3859, 7.1422 Å; angles 90.00, 90.00, 120.00 degrees
Closest atoms and distances in Å follow each position.
Sites, in units of the cell vectors:
Y  0.0000  0.0000  0.0000  3 Mo 2.95
Tl  0.3333  0.6667  0.6188  3 Mo 2.95
Mo  0.6667  0.3333  0.3097  3 Tl 2.95, 3 Y 2.95

Computed properties:
- volume (Å³/atom) = 23.6
- formation energy (eV/atom) = 0.4986
- electronic total energy (eV per formula unit) = -18.2
- space group = No. 156


No. 2
Here is an optimized crystal structure of YTl2Mo from Alexandria. Energies are from PBE-GGA.

Cell lengths 3.1754, 4.3584, 6.5086 Å; angles 90.00, 90.20, 90.00 degrees
Closest atoms and distances in Å follow each position.
Sites, in units of the cell vectors:
Y  0.0000  0.0000  0.0000  2 Y 3.18, 8 Tl 3.22-3.23, 2 Mo 3.25
Tl  0.4988  0.5000  0.7281  3 Tl 2.97-3.18, 4 Mo 3.07-3.08, 4 Y 3.22-3.23
Tl  0.5012  0.5000  0.2719  3 Tl 2.97-3.18, 4 Mo 3.07-3.08, 4 Y 3.22-3.23
Mo  0.0000  0.0000  0.5000  8 Tl 3.07-3.08, 2 Mo 3.18, 2 Y 3.25

Computed properties:
- volume (Å³/atom) = 22.5
- formation energy (eV/atom) = 0.3232
- electronic total energy (eV per formula unit) = -20.7
- space group = No. 10


No. 3
Here is an optimized crystal structure of YTl2Mo from Alexandria. Energies are from PBE-GGA.

Cell lengths 3.8411, 3.8411, 6.3929 Å; angles 90.00, 90.00, 90.00 degrees
Closest atoms and distances in Å follow each position.
Sites, in units of the cell vectors:
Y  0.0000  0.0000  0.0000  5 Tl 2.96-3.26, 4 Mo 3.10
Tl  0.0000  0.0000  0.4627  1 Y 2.96, 4 Mo 3.08, 4 Tl 3.17
Tl  0.5000  0.5000  0.7188  2 Mo 3.10-3.30, 4 Tl 3.17, 4 Y 3.26
Mo  0.5000  0.5000  0.2345  6 Tl 3.08-3.30, 4 Y 3.10

Computed properties:
- volume (Å³/atom) = 23.6
- formation energy (eV/atom) = 0.3897
- electronic total energy (eV per formula unit) = -20.5
- space group = No. 99


No. 4
Here is an optimized crystal structure of Y2TlMo from Alexandria. Energies are from PBE-GGA.

Cell lengths 10.3696, 10.3696, 10.3696 Å; angles 18.98, 18.98, 18.98 degrees
Closest atoms and distances in Å follow each position.
Sites, in units of the cell vectors:
Y  0.0000  0.0000  0.0000  3 Mo 2.97
Y  0.2313  0.2313  0.2313  3 Tl 3.31, 9 Y 3.42-3.69
Tl  0.4777  0.4777  0.4777  3 Mo 2.95
Mo  0.7392  0.7392  0.7392  3 Tl 2.95, 3 Y 2.97

Computed properties:
- volume (Å³/atom) = 25.8
- formation energy (eV/atom) = 0.4311
- electronic total energy (eV per formula unit) = -24.4
- space group = No. 160


No. 5
Here is an optimized crystal structure of Y2TlMo from Alexandria. Energies are from PBE-GGA.

Cell lengths 3.6171, 3.6171, 7.5550 Å; angles 90.00, 90.00, 90.00 degrees
Closest atoms and distances in Å follow each position.
Sites, in units of the cell vectors:
Y  0.0000  0.0000  0.2214  4 Mo 3.06, 4 Tl 3.31, 1 Y 3.35
Y  0.0000  0.0000  0.7786  4 Mo 3.06, 4 Tl 3.31, 1 Y 3.35
Tl  0.5000  0.5000  0.5000  8 Y 3.31, 4 Tl 3.62
Mo  0.5000  0.5000  0.0000  8 Y 3.06

Computed properties:
- volume (Å³/atom) = 24.7
- formation energy (eV/atom) = 0.0658
- electronic total energy (eV per formula unit) = -25.9
- space group = No. 123


No. 6
Here is an optimized crystal structure of YTl4Mo2 from Alexandria. Energies are from PBE-GGA.

Cell lengths 8.1435, 8.1435, 8.1435 Å; angles 138.72, 138.72, 59.80 degrees
Closest atoms and distances in Å follow each position.
Sites, in units of the cell vectors:
Y  0.0000  0.0000  0.0000  6 Tl 2.87-3.09
Tl  0.0000  0.5000  0.5000  2 Y 2.87, 4 Mo 3.06
Tl  0.2189  0.2189  0.0000  1 Mo 2.91, 1 Y 3.09
Tl  0.5000  0.0000  0.5000  2 Y 2.87, 4 Mo 3.06
Tl  0.7811  0.7811  0.0000  1 Mo 2.91, 1 Y 3.09
Mo  0.4252  0.4252  0.0000  1 Mo 2.11
Mo  0.5748  0.5748  0.0000  1 Mo 2.11

Computed properties:
- volume (Å³/atom) = 33.2
- formation energy (eV/atom) = 0.9313
- electronic total energy (eV per formula unit) = -31.1
- space group = No. 139


No. 7
Here is an optimized crystal structure of Y2TlMo from Alexandria. Energies are from PBE-GGA.

Cell lengths 5.1567, 5.1567, 6.3438 Å; angles 98.35, 98.35, 36.98 degrees
Closest atoms and distances in Å follow each position.
Sites, in units of the cell vectors:
Y  0.2460  0.2460  0.2348  3 Mo 3.09-3.10, 3 Tl 3.14-3.22, 4 Y 3.27-3.41
Y  0.7540  0.7540  0.7652  3 Mo 3.09-3.10, 3 Tl 3.14-3.22, 4 Y 3.27-3.41
Tl  0.0000  0.0000  0.5000  6 Y 3.14-3.22, 2 Tl 3.27
Mo  0.5000  0.5000  0.0000  6 Y 3.09-3.10, 2 Mo 3.27

Computed properties:
- volume (Å³/atom) = 25.1
- formation energy (eV/atom) = 0.3588
- electronic total energy (eV per formula unit) = -24.7
- space group = No. 12


No. 8
Here is an optimized crystal structure of YTlMo from Alexandria. Energies are from PBE-GGA.

Cell lengths 7.2432, 7.2432, 7.2432 Å; angles 154.99, 154.99, 35.66 degrees
Closest atoms and distances in Å follow each position.
Sites, in units of the cell vectors:
Y  0.0000  0.0000  0.0000  4 Mo 3.12, 4 Y 3.14, 4 Tl 3.42
Tl  0.6885  0.6885  0.0000  4 Mo 3.05, 4 Tl 3.14, 4 Y 3.42
Mo  0.3404  0.3404  0.0000  4 Tl 3.05, 4 Y 3.12, 4 Mo 3.14

Computed properties:
- volume (Å³/atom) = 22.6
- formation energy (eV/atom) = 0.4147
- electronic total energy (eV per formula unit) = -18.4
- space group = No. 107